Below is an optimized crystal structure of GaHgHAu, with properties calculated at the PBE-GGA level.

The structure in CIF format:
```
data_GaHgHAu
_cell_length_a 3.2757
_cell_length_b 3.6382
_cell_length_c 6.0731
_cell_angle_alpha 90.00
_cell_angle_beta 90.20
_cell_angle_gamma 90.00
_space_group_name_H-M_alt 'P 1'
_space_group_IT_number 1
_space_group_name_Hall 'P 1'
loop_
_atom_site_label
_atom_site_type_symbol
_atom_site_fract_x
_atom_site_fract_y
_atom_site_fract_z
Hg1 Hg 0.6344 0.0000 0.2260
Au1 Au 0.1236 0.5000 0.5591
Ga1 Ga 0.6243 0.5000 0.8941
H1 H 0.1255 0.0000 0.5741
```

Calculated values
Its spin magnetization is 0.00 μB/cell. Its space group is Pm, No. 6. The energy above the lowest structure with this stoichiometry comes out at 60 meV/atom. As for the uncorrected energy: -2.381 eV per atom.